[1]
Zn2CdPd2 | PBE | optimized geometry

abc: 4.0623 4.0623 10.7254
angles: 90.00 90.00 90.00
Last column: nearest neighbours and their distance in Å.
Space group I4/mmm (No. 139)
Symmetry-distinct sites (fractional):
Zn 0.0000 0.0000 0.1113 [4 per cell]  1 Zn 2.39, 4 Pd 2.52
Cd 0.0000 0.0000 0.5000 [2 per cell]  8 Zn 3.11, 8 Pd 3.36
Pd 0.0000 0.5000 0.2500 [4 per cell]  4 Zn 2.52

Calculated formation energy   -0.94 eV per formula unit
Spin magnetization   0.000 μB/cell

=====

[2]
CaTbHg4 | PBE | optimized geometry

abc: 8.6620 8.5684 4.9450
angles: 90.00 124.52 90.00
Last column: nearest neighbours and their distance in Å.
Space group C2 (No. 5)
Symmetry-distinct sites (fractional):
Ca 0.0000 0.0000 0.0000 [2 per cell]  12 Hg 3.33-3.41, 2 Tb 3.57
Tb 0.0000 0.4991 0.5000 [2 per cell]  12 Hg 3.33-3.40, 2 Ca 3.57
Hg 0.2410 0.6663 0.2409 [4 per cell]  3 Hg 2.86
Hg 0.2418 0.3329 0.2419 [4 per cell]  3 Hg 2.86

Calculated formation energy   -2.52 eV per formula unit
Spin magnetization   0.000 μB/cell

=====

[3]
LaZn2GePd2 | PBE | optimized geometry

abc: 4.7000 4.7000 5.7654
angles: 90.00 90.00 90.00
Last column: nearest neighbours and their distance in Å.
Space group P4/mmm (No. 123)
Symmetry-distinct sites (fractional):
La 0.0000 0.0000 0.0000 [1 per cell]  2 Ge 2.88
Zn 0.5000 0.5000 0.2400 [2 per cell]  2 Zn 2.77-3.00, 4 Pd 2.79
Ge 0.0000 0.0000 0.5000 [1 per cell]  4 Pd 2.35
Pd 0.0000 0.5000 0.5000 [2 per cell]  2 Ge 2.35

Calculated formation energy   -2.27 eV per formula unit
Spin magnetization   0.000 μB/cell